Computed, not measured: a relaxed structure of La2Tb2SmCd5 at the PBE-GGA level of DFT.

Properties
* energy of formation: -0.21 eV/atom
* raw total energy: -3.055 eV per atom

a = 10.7579 Å, b = 10.7579 Å, c = 4.8517 Å
α = 90.00°, β = 90.00°, γ = 90.00°
With the nearest neighbours (Å) after each atom.
Fractional positions:
La: 0.1760 0.3240 0.0000  3 Tb 3.06-3.27
La: 0.3240 0.8240 0.0000  3 Tb 3.06-3.27
La: 0.6760 0.1760 0.0000  3 Tb 3.06-3.27
La: 0.8240 0.6760 0.0000  3 Tb 3.06-3.27
Tb: 0.1229 0.6229 0.0000  3 La 3.06-3.27, 6 Cd 3.06-3.17
Tb: 0.3771 0.1229 0.0000  3 La 3.06-3.27, 6 Cd 3.06-3.17
Tb: 0.6229 0.8771 0.0000  3 La 3.06-3.27, 6 Cd 3.06-3.17
Tb: 0.8771 0.3771 0.0000  3 La 3.06-3.27, 6 Cd 3.06-3.17
Sm: 0.0000 0.0000 0.0000  8 Cd 3.30
Sm: 0.5000 0.5000 0.0000  8 Cd 3.30
Cd: 0.0000 0.5000 0.5000  4 Tb 3.06, 4 Cd 3.35
Cd: 0.0684 0.8040 0.5000  3 Cd 3.16-3.35, 2 Tb 3.17, 2 Sm 3.30
Cd: 0.1960 0.0684 0.5000  3 Cd 3.16-3.35, 2 Tb 3.17, 2 Sm 3.30
Cd: 0.3040 0.5684 0.5000  3 Cd 3.16-3.35, 2 Tb 3.17, 2 Sm 3.30
Cd: 0.4316 0.3040 0.5000  3 Cd 3.16-3.35, 2 Tb 3.17, 2 Sm 3.30
Cd: 0.5000 0.0000 0.5000  4 Tb 3.06, 4 Cd 3.35
Cd: 0.5684 0.6960 0.5000  3 Cd 3.16-3.35, 2 Tb 3.17, 2 Sm 3.30
Cd: 0.6960 0.4316 0.5000  3 Cd 3.16-3.35, 2 Tb 3.17, 2 Sm 3.30
Cd: 0.8040 0.9316 0.5000  3 Cd 3.16-3.35, 2 Tb 3.17, 2 Sm 3.30
Cd: 0.9316 0.1960 0.5000  3 Cd 3.16-3.35, 2 Tb 3.17, 2 Sm 3.30

Computed, not measured: a relaxed structure of Cs3PuMg2Cl9 at the PBE-GGA level of DFT.

Properties
* formation energy from raw total energies: -1.893 eV/atom
* raw total energy: -4.340 eV per atom

a = 7.4855 Å, b = 7.4855 Å, c = 9.2184 Å
α = 90.00°, β = 90.00°, γ = 120.00°
With the nearest neighbours (Å) after each atom.
Fractional positions:
Cs: 0.0000 0.0000 0.0000  12 Cl 3.72-3.74
Cs: 0.3333 0.6667 0.6727  12 Cl 3.71-3.85
Cs: 0.6667 0.3333 0.3273  12 Cl 3.71-3.85
Pu: 0.0000 0.0000 0.5000  6 Cl 2.82
Mg: 0.3333 0.6667 0.1552  6 Cl 2.54-2.59
Mg: 0.6667 0.3333 0.8448  6 Cl 2.54-2.59
Cl: 0.0000 0.5000 0.0000  2 Mg 2.59
Cl: 0.1757 0.3514 0.3189  1 Mg 2.54, 1 Pu 2.82
Cl: 0.1757 0.8243 0.3189  1 Mg 2.54, 1 Pu 2.82
Cl: 0.3514 0.1757 0.6811  1 Mg 2.54, 1 Pu 2.82
Cl: 0.5000 0.0000 0.0000  2 Mg 2.59
Cl: 0.5000 0.5000 0.0000  2 Mg 2.59
Cl: 0.6486 0.8243 0.3189  1 Mg 2.54, 1 Pu 2.82
Cl: 0.8243 0.1757 0.6811  1 Mg 2.54, 1 Pu 2.82
Cl: 0.8243 0.6486 0.6811  1 Mg 2.54, 1 Pu 2.82

Computed, not measured: a relaxed structure of MnV at the PBE-GGA level of DFT.

Properties
* energy of formation: 1.67 eV/atom
* raw total energy: -7.475 eV per atom

a = 3.7902 Å, b = 3.7902 Å, c = 3.7902 Å
α = 60.00°, β = 60.00°, γ = 60.00°
With the nearest neighbours (Å) after each atom.
Fractional positions:
Mn: 0.0000 0.0000 0.0000  4 V 2.32
V: 0.2500 0.2500 0.2500  4 Mn 2.32

Computed, not measured: a relaxed structure of Na2PrCdSn2 at the PBE-GGA level of DFT.

Properties
* energy of formation: -0.37 eV/atom
* raw total energy: -3.089 eV per atom

a = 4.8647 Å, b = 9.1865 Å, c = 7.7724 Å
α = 90.00°, β = 90.00°, γ = 90.00°
With the nearest neighbours (Å) after each atom.
Fractional positions:
Na: 0.0000 0.0757 0.0000  5 Sn 3.35-3.74, 4 Na 3.52-3.59, 2 Cd 3.62-3.70
Na: 0.0000 0.9243 0.5000  5 Sn 3.35-3.74, 4 Na 3.52-3.59, 2 Cd 3.62-3.70
Na: 0.5000 0.1622 0.3104  4 Sn 3.11-3.22
Na: 0.5000 0.8378 0.8104  4 Sn 3.11-3.22
Pr: 0.5000 0.4600 0.9681  5 Sn 3.28-3.34, 2 Cd 3.44
Pr: 0.5000 0.5400 0.4681  5 Sn 3.28-3.34, 2 Cd 3.44
Cd: 0.0000 0.3123 0.6272  4 Sn 2.87-3.03
Cd: 0.0000 0.6877 0.1272  4 Sn 2.87-3.03
Sn: 0.0000 0.3793 0.2461  2 Cd 2.98-3.03, 2 Na 3.18, 4 Pr 3.33-3.34
Sn: 0.0000 0.6207 0.7461  2 Cd 2.98-3.03, 2 Na 3.18, 4 Pr 3.33-3.34
Sn: 0.5000 0.1688 0.7240  2 Cd 2.87, 1 Na 3.11
Sn: 0.5000 0.8312 0.2240  2 Cd 2.87, 1 Na 3.11

Computed, not measured: a relaxed structure of Er3Ge4Ru2 at the PBE-GGA level of DFT.

Properties
* energy of formation: -0.75 eV/atom
* raw total energy: -6.388 eV per atom

a = 5.7351 Å, b = 5.7351 Å, c = 8.1229 Å
α = 108.31°, β = 108.31°, γ = 44.51°
With the nearest neighbours (Å) after each atom.
Fractional positions:
Er: 0.0000 0.0000 0.0000  8 Ge 3.04-3.31
Er: 0.3756 0.3756 0.3040  7 Ge 2.92-3.15, 4 Ru 2.98-3.14
Er: 0.6244 0.6244 0.6960  7 Ge 2.92-3.15, 4 Ru 2.98-3.14
Ge: 0.0913 0.0913 0.4032  3 Ru 2.44-2.54
Ge: 0.2868 0.2868 0.9227  1 Ru 2.44
Ge: 0.7132 0.7132 0.0773  1 Ru 2.44
Ge: 0.9087 0.9087 0.5968  3 Ru 2.44-2.54
Ru: 0.3204 0.3204 0.6404  4 Ge 2.44-2.54
Ru: 0.6796 0.6796 0.3596  4 Ge 2.44-2.54

Computed, not measured: a relaxed structure of Ba3In3Pt at the PBE-GGA level of DFT.

Properties
* energy of formation: -0.52 eV/atom
* raw total energy: -3.378 eV per atom

a = 7.0446 Å, b = 7.0446 Å, c = 17.6668 Å
α = 106.23°, β = 106.23°, γ = 36.42°
With the nearest neighbours (Å) after each atom.
Fractional positions:
Ba: 0.0182 0.0182 0.3923  2 Pt 3.35, 4 In 3.57-3.65
Ba: 0.1183 0.1183 0.9201  7 In 3.61-3.77
Ba: 0.2405 0.2405 0.2458  2 Pt 3.37, 5 In 3.58-3.71
Ba: 0.7595 0.7595 0.7542  2 Pt 3.37, 5 In 3.58-3.71
Ba: 0.8817 0.8817 0.0799  7 In 3.61-3.77
Ba: 0.9818 0.9818 0.6077  2 Pt 3.35, 4 In 3.57-3.65
In: 0.3118 0.3118 0.4598  3 Pt 2.81-2.92
In: 0.4000 0.4000 0.9209  2 In 3.19-3.25
In: 0.4736 0.4736 0.7646  1 Pt 2.88, 1 In 3.19
In: 0.5264 0.5264 0.2354  1 Pt 2.88, 1 In 3.19
In: 0.6000 0.6000 0.0791  2 In 3.19-3.25
In: 0.6882 0.6882 0.5402  3 Pt 2.81-2.92
Pt: 0.3001 0.3001 0.6222  4 In 2.81-2.92
Pt: 0.6999 0.6999 0.3778  4 In 2.81-2.92

Computed, not measured: a relaxed structure of Sm5Y6Sc2 at the PBE-GGA level of DFT.

Properties
* energy of formation: 0.14 eV/atom
* raw total energy: -5.635 eV per atom

a = 10.6887 Å, b = 22.3372 Å, c = 3.5270 Å
α = 90.00°, β = 90.00°, γ = 90.00°
With the nearest neighbours (Å) after each atom.
Fractional positions:
Sm: 0.0000 0.0000 0.0000  6 Y 3.48-3.59, 4 Sm 3.53-3.58
Sm: 0.0863 0.2515 0.0000  4 Sc 3.23-3.24, 5 Y 3.51-3.60, 2 Sm 3.53
Sm: 0.1659 0.5103 0.0000  4 Sm 3.53-3.58, 7 Y 3.55-3.81
Sm: 0.3341 0.0103 0.0000  4 Sm 3.53-3.58, 7 Y 3.55-3.81
Sm: 0.4137 0.7515 0.0000  4 Sc 3.23-3.24, 5 Y 3.51-3.60, 2 Sm 3.53
Sm: 0.5000 0.5000 0.0000  6 Y 3.48-3.59, 4 Sm 3.53-3.58
Sm: 0.5863 0.2485 0.0000  4 Sc 3.23-3.24, 5 Y 3.51-3.60, 2 Sm 3.53
Sm: 0.6659 0.9897 0.0000  4 Sm 3.53-3.58, 7 Y 3.55-3.81
Sm: 0.8341 0.4897 0.0000  4 Sm 3.53-3.58, 7 Y 3.55-3.81
Sm: 0.9137 0.7485 0.0000  4 Sc 3.23-3.24, 5 Y 3.51-3.60, 2 Sm 3.53
Y: 0.0345 0.3876 0.5000  1 Sc 3.36, 4 Y 3.53-3.71, 6 Sm 3.55-3.59
Y: 0.1368 0.1175 0.5000  1 Sc 3.28, 6 Sm 3.48-3.65, 2 Y 3.53
Y: 0.1655 0.8601 0.0000  2 Sc 3.42, 6 Y 3.53-3.71, 4 Sm 3.59-3.81
Y: 0.3345 0.3601 0.0000  2 Sc 3.42, 6 Y 3.53-3.71, 4 Sm 3.59-3.81
Y: 0.3632 0.6175 0.5000  1 Sc 3.28, 6 Sm 3.48-3.65, 2 Y 3.53
Y: 0.4655 0.8876 0.5000  1 Sc 3.36, 4 Y 3.53-3.71, 6 Sm 3.55-3.59
Y: 0.5345 0.1124 0.5000  1 Sc 3.36, 4 Y 3.53-3.71, 6 Sm 3.55-3.59
Y: 0.6368 0.3825 0.5000  1 Sc 3.28, 6 Sm 3.48-3.65, 2 Y 3.53
Y: 0.6655 0.6399 0.0000  2 Sc 3.42, 6 Y 3.53-3.71, 4 Sm 3.59-3.81
Y: 0.8345 0.1399 0.0000  2 Sc 3.42, 6 Y 3.53-3.71, 4 Sm 3.59-3.81
Y: 0.8632 0.8825 0.5000  1 Sc 3.28, 6 Sm 3.48-3.65, 2 Y 3.53
Y: 0.9655 0.6124 0.5000  1 Sc 3.36, 4 Y 3.53-3.71, 6 Sm 3.55-3.59
Sc: 0.1639 0.7289 0.5000  4 Sm 3.23-3.24, 4 Y 3.28-3.42, 2 Sc 3.53
Sc: 0.3361 0.2289 0.5000  4 Sm 3.23-3.24, 4 Y 3.28-3.42, 2 Sc 3.53
Sc: 0.6639 0.7711 0.5000  4 Sm 3.23-3.24, 4 Y 3.28-3.42, 2 Sc 3.53
Sc: 0.8361 0.2711 0.5000  4 Sm 3.23-3.24, 4 Y 3.28-3.42, 2 Sc 3.53

Computed, not measured: a relaxed structure of Y3HoFe at the PBE-GGA level of DFT.

Properties
* energy of formation: 0.13 eV/atom
* raw total energy: -6.356 eV per atom

a = 5.2820 Å, b = 5.2820 Å, c = 5.2820 Å
α = 90.00°, β = 90.00°, γ = 90.00°
With the nearest neighbours (Å) after each atom.
Fractional positions:
Y: 0.0000 0.0000 0.5000  2 Fe 2.64
Y: 0.0000 0.5000 0.0000  2 Fe 2.64
Y: 0.5000 0.0000 0.0000  2 Fe 2.64
Ho: 0.5000 0.5000 0.5000  12 Y 3.73
Fe: 0.0000 0.0000 0.0000  6 Y 2.64

Computed, not measured: a relaxed structure of Ac3SnHg2 at the PBE-GGA level of DFT.

Properties
* energy of formation: -0.52 eV/atom
* excess energy over the best structure of this formula in the dataset: 12 meV per atom
* raw total energy: -3.342 eV per atom

a = 4.0097 Å, b = 4.0097 Å, c = 12.5246 Å
α = 90.00°, β = 90.00°, γ = 90.00°
With the nearest neighbours (Å) after each atom.
Fractional positions:
Ac: 0.0000 0.0000 0.0000  8 Hg 3.47
Ac: 0.0000 0.0000 0.3303  4 Sn 3.54, 4 Hg 3.55
Ac: 0.0000 0.0000 0.6697  4 Sn 3.54, 4 Hg 3.55
Sn: 0.5000 0.5000 0.5000  8 Ac 3.54
Hg: 0.5000 0.5000 0.1594  8 Ac 3.47-3.55
Hg: 0.5000 0.5000 0.8406  8 Ac 3.47-3.55

Computed, not measured: a relaxed structure of ZrMn2Br at the PBE-GGA level of DFT.

Properties
* formation energy from raw total energies: 0.198 eV/atom
* excess energy over the best structure of this formula in the dataset: 152 meV per atom
* raw total energy: -6.942 eV per atom

a = 3.4974 Å, b = 3.4974 Å, c = 5.9449 Å
α = 90.00°, β = 90.00°, γ = 90.00°
With the nearest neighbours (Å) after each atom.
Fractional positions:
Zr: 0.0000 0.0000 0.0000  8 Mn 2.80, 2 Br 2.97
Mn: 0.5000 0.5000 0.2204  1 Mn 2.62, 4 Zr 2.80
Mn: 0.5000 0.5000 0.7796  1 Mn 2.62, 4 Zr 2.80
Br: 0.0000 0.0000 0.5000  2 Zr 2.97, 8 Mn 2.98

Computed, not measured: a relaxed structure of Ce3Ge2Rh3 at the PBE-GGA level of DFT.

Properties
* energy of formation: -0.80 eV/atom
* excess energy over the best structure of this formula in the dataset: 52 meV per atom
* raw total energy: -6.934 eV per atom

a = 5.6082 Å, b = 5.6082 Å, c = 14.8164 Å
α = 90.00°, β = 90.00°, γ = 135.61°
With the nearest neighbours (Å) after each atom.
Fractional positions:
Ce: 0.0799 0.9201 0.6039  3 Ge 2.95-3.09, 5 Rh 2.96-3.09
Ce: 0.0799 0.9201 0.8961  3 Ge 2.95-3.09, 5 Rh 2.96-3.09
Ce: 0.3810 0.6190 0.7500  1 Rh 2.68
Ce: 0.6190 0.3810 0.2500  1 Rh 2.68
Ce: 0.9201 0.0799 0.1039  3 Ge 2.95-3.09, 5 Rh 2.96-3.09
Ce: 0.9201 0.0799 0.3961  3 Ge 2.95-3.09, 5 Rh 2.96-3.09
Ge: 0.2038 0.7962 0.1114  4 Rh 2.53-2.63
Ge: 0.2038 0.7962 0.3886  4 Rh 2.53-2.63
Ge: 0.7962 0.2038 0.6114  4 Rh 2.53-2.63
Ge: 0.7962 0.2038 0.8886  4 Rh 2.53-2.63
Rh: 0.3574 0.6426 0.5282  3 Ge 2.53-2.61
Rh: 0.3574 0.6426 0.9718  3 Ge 2.53-2.61
Rh: 0.3613 0.6387 0.2500  2 Ge 2.63, 1 Ce 2.68
Rh: 0.6387 0.3613 0.7500  2 Ge 2.63, 1 Ce 2.68
Rh: 0.6426 0.3574 0.0282  3 Ge 2.53-2.61
Rh: 0.6426 0.3574 0.4718  3 Ge 2.53-2.61

Computed, not measured: a relaxed structure of MnOs2Cl at the PBE-GGA level of DFT.

Properties
* formation energy from raw total energies: 1.068 eV/atom
* excess energy over the best structure of this formula in the dataset: 750 meV per atom
* raw total energy: -7.301 eV per atom

a = 4.3840 Å, b = 4.3840 Å, c = 4.3840 Å
α = 60.00°, β = 60.00°, γ = 60.00°
With the nearest neighbours (Å) after each atom.
Fractional positions:
Mn: 0.0000 0.0000 0.0000  4 Cl 2.68, 4 Os 2.68
Os: 0.2500 0.2500 0.2500  4 Mn 2.68, 4 Os 2.68
Os: 0.5000 0.5000 0.5000  4 Cl 2.68, 4 Os 2.68
Cl: 0.7500 0.7500 0.7500  4 Os 2.68, 4 Mn 2.68